Entry A
Here is a relaxed structure of VPdRu2 from Alexandria. Energies are from GGA-PBE.

a = 4.3198 Å, b = 4.3198 Å, c = 4.3198 Å
α = 60.00°, β = 60.00°, γ = 60.00°
With the nearest neighbours (Å) after each atom.
Atoms (fractional coordinates):
Ru: 0.2500 0.2500 0.2500  4 Pd 2.65, 4 V 2.65
Ru: 0.7500 0.7500 0.7500  4 Pd 2.65, 4 V 2.65
Pd: 0.5000 0.5000 0.5000  8 Ru 2.65
V: 0.0000 0.0000 0.0000  8 Ru 2.65

Computed properties:
Density of states at the Fermi level: 4.6 states/eV/f.u.


Entry B
Here is a relaxed structure of VPdRu2 from Alexandria. Energies are from GGA-PBE.

a = 3.7437 Å, b = 3.7437 Å, c = 9.2418 Å
α = 78.31°, β = 78.31°, γ = 90.00°
With the nearest neighbours (Å) after each atom.
Atoms (fractional coordinates):
Pd: 0.7500 0.2500 0.5000  4 Ru 2.62, 4 V 2.65
Pd: 0.0000 0.0000 0.0000  4 Ru 2.62, 4 V 2.65
Ru: 0.3750 0.4033 0.7500  4 Ru 2.50-2.80, 2 V 2.54, 2 Pd 2.62
Ru: 0.5967 0.1250 0.2500  4 Ru 2.50-2.80, 2 V 2.54, 2 Pd 2.62
Ru: 0.1533 0.6250 0.2500  4 Ru 2.50-2.80, 2 V 2.54, 2 Pd 2.62
Ru: 0.8750 0.8467 0.7500  4 Ru 2.50-2.80, 2 V 2.54, 2 Pd 2.62
V: 0.5000 0.5000 0.0000  4 Ru 2.54, 4 Pd 2.65
V: 0.2500 0.7500 0.5000  4 Ru 2.54, 4 Pd 2.65

Computed properties:
Density of states at the Fermi level: 6.2 states/eV/f.u.


Of them, entry B has the lowest stability.